(1)
10
Lattice="-4.3186 0.6181 -2.0302 -3.1810 -2.2711 6.2817 -0.9052 4.0060 3.6189" Properties=species:S:1:pos:R:3 comment="InPd4Pt5 (PBE-GGA, optimized geometry)" magmom_total_mub_per_fu=0.0 dos_at_fermi_per_ev_fu=13.0 sg=P-1 mass_density_g_cm3=14.16 dft_energy_ev_per_atom=-5.335 pbc="T T T"
In -2.1593 0.3090 -1.0151
Pd -4.0155 -0.0291 1.0569
Pd -3.4041 -1.2368 7.1575
Pd -4.3893 2.3820 6.8135
Pd -5.0007 3.5897 0.7130
Pt -2.1517 0.7216 2.9363
Pt -2.4774 2.5670 4.8098
Pt -5.9274 -0.2141 3.0607
Pt -2.6119 2.3120 0.7944
Pt -6.2531 1.6313 4.9341

(2)
6
Lattice="-0.3460 1.1890 4.0894 -3.4873 -1.1143 -2.2033 1.0513 -8.1541 2.4598" Properties=species:S:1:pos:R:3 comment="PrSmGa4 (PBE-GGA, optimized geometry)" magmom_total_mub_per_fu=0.0 de_polymorph_mev_per_atom=0 dos_at_fermi_per_ev_fu=3.1 sg=P6/mmm mass_density_g_cm3=6.98 dft_energy_ev_per_atom=-4.290 pbc="T T T"
Pr 0.5256 -4.0771 1.2299
Sm 0.0000 0.0000 0.0000
Ga -2.1822 -2.3470 0.4978
Ga -1.6468 -6.5001 1.7507
Ga -1.1351 -1.5792 2.5954
Ga -0.5997 -5.7323 3.8482

(3)
13
Lattice="4.8828 0.0000 1.2415 2.4414 9.1159 0.6207 0.1951 0.0000 9.4555" Properties=species:S:1:pos:R:3 comment="Tb5Pm4Er4 (PBE-GGA, optimized geometry)" magmom_total_mub_per_fu=0.0 dos_at_fermi_per_ev_fu=17.8 sg=I4/m mass_density_g_cm3=8.11 dft_energy_ev_per_atom=-4.629 pbc="T T T"
Tb 5.5945 7.7400 8.6649
Tb 1.9247 1.3759 2.6528
Tb 0.0000 0.0000 0.0000
Tb 4.5437 7.0192 2.5749
Tb 2.9755 2.0967 8.7428
Pm 5.7628 4.1981 8.0030
Pm 3.8483 2.7797 5.3101
Pm 1.7564 4.9178 3.3147
Pm 3.6709 6.3362 6.0076
Er 4.7106 3.4995 1.9185
Er 2.8086 5.6164 9.3992
Er 6.4618 8.4173 5.2537
Er 1.0574 0.6986 6.0640

(4)
10
Lattice="-3.4773 -0.2857 -2.1460 2.0072 -1.9467 -2.9933 -4.1286 -18.2867 9.1243" Properties=species:S:1:pos:R:3 comment="Rb4SrAu5 (PBE-GGA, optimized geometry)" magmom_total_mub_per_fu=0.0 dos_at_fermi_per_ev_fu=1.3 sg=P4/mmm mass_density_g_cm3=6.71 dft_energy_ev_per_atom=-2.575 pbc="T T T"
Rb -0.8110 -3.5921 1.7923
Rb -1.6469 -7.2945 3.6397
Rb -2.4817 -10.9922 5.4847
Rb -3.3176 -14.6946 7.3320
Sr 0.0000 0.0000 0.0000
Au -1.0377 -2.4567 -1.9008
Au -1.9554 -6.5214 0.1273
Au -2.7994 -10.2595 1.9925
Au -3.6434 -13.9977 3.8577
Au -4.5611 -18.0624 5.8858

(5)
4
Lattice="-2.4544 1.0118 -1.2922 0.9202 -1.0765 -2.5907 -3.3408 -6.2846 1.4247" Properties=species:S:1:pos:R:3 comment="TaCr2Cd (PBE-GGA, optimized geometry)" magmom_total_mub_per_fu=0.7 dos_at_fermi_per_ev_fu=2.5 sg=P4mm mass_density_g_cm3=10.43 dft_energy_ev_per_atom=-7.771 pbc="T T T"
Cd -3.3530 -4.8970 -0.8387
Cr -0.1671 -0.3144 0.0713
Cr -1.4791 -1.3717 -1.6378
Ta -1.5461 -2.9086 0.6593

(6)
18
Lattice="8.3086 -0.1326 -2.8151 -4.5655 7.0710 -2.4761 0.1119 0.1326 8.7718" Properties=species:S:1:pos:R:3 comment="Nd6Ni2Pb (PBE-GGA, optimized geometry)" magmom_total_mub_per_fu=0.0 dos_at_fermi_per_ev_fu=9.5 sg=Immm mass_density_g_cm3=7.65 dft_energy_ev_per_atom=-5.146 pbc="T T T"
Nd 1.2057 5.0263 3.9461
Nd 2.6492 2.0447 -0.4655
Nd -0.3312 2.1773 6.1188
Nd 4.1862 4.8938 -2.6382
Nd 3.1278 5.4356 0.8216
Nd 0.7271 1.6354 2.6590
Nd -1.7043 5.5682 6.0960
Nd 5.5592 1.5029 -2.6154
Nd 4.1335 2.6011 3.0868
Nd -0.2786 4.4699 0.3938
Nd -1.8592 7.0265 2.6282
Nd 5.7141 0.0445 0.8524
Ni 2.5111 2.7482 5.3802
Ni 1.3438 4.3228 -1.8996
Ni 5.3547 0.0000 3.7880
Ni 3.0657 0.0000 2.1687
Pb -2.2268 3.6018 3.1478
Pb 0.0000 0.0000 0.0000

(7)
4
Lattice="-1.9638 -2.2816 -3.1447 -1.1363 -3.0223 2.9024 -4.8248 1.0020 2.2861" Properties=species:S:1:pos:R:3 comment="SrCu2Pb (PBE-GGA, optimized geometry)" magmom_total_mub_per_fu=0.0 dos_at_fermi_per_ev_fu=1.6 sg=Pm mass_density_g_cm3=7.39 dft_energy_ev_per_atom=-3.443 pbc="T T T"
Cu -0.3029 -0.5029 0.5540
Cu -2.2296 -1.1264 -0.8036
Pb -2.5408 -1.0335 2.3365
Sr -5.8323 -2.6493 2.5511

(8)
12
Lattice="4.1094 0.0000 0.0000 0.0000 4.1094 0.0000 -2.0547 -2.0547 13.4201" Properties=species:S:1:pos:R:3 comment="Th3Si2Pt2Rh5 (PBE-GGA, optimized geometry)" magmom_total_mub_per_fu=0.0 dos_at_fermi_per_ev_fu=5.8 sg=I4/mmm mass_density_g_cm3=12.14 raw_formation_energy_ev_per_fu=-12.64 dft_energy_ev_per_atom=-7.882 pbc="T T T"
Th 0.0000 0.0000 4.5607
Th 2.0547 2.0547 8.8593
Th 0.0000 0.0000 0.0000
Si 0.0000 0.0000 10.0842
Si 2.0547 2.0547 3.3358
Pt 2.0547 2.0547 5.7613
Pt 0.0000 0.0000 7.6588
Rh 2.0547 0.0000 2.1832
Rh 0.0000 2.0547 11.2369
Rh 0.0000 2.0547 2.1832
Rh 2.0547 0.0000 11.2369
Rh 2.0547 2.0547 0.0000

(9)
20
Lattice="6.3673 -0.5479 0.0537 -1.3233 6.2523 0.0537 -1.4171 -1.6027 6.7810" Properties=species:S:1:pos:R:3 comment="NaSmC2O6 (PBE-GGA, optimized geometry)" magmom_total_mub_per_fu=0.0 de_polymorph_mev_per_atom=7 dos_at_fermi_per_ev_fu=0.0 sg=C2/c mass_density_g_cm3=3.66 raw_formation_energy_ev_per_fu=-20.97 dft_energy_ev_per_atom=-7.521 pbc="T T T"
Na -0.9077 5.1709 1.7489
Na 4.5346 -1.0692 5.1394
Sm 2.7936 1.8981 1.7489
Sm 0.8332 2.2036 5.1394
C 1.3945 -0.6459 5.1589
C 3.7300 1.9954 5.1199
C 2.2323 4.7476 1.7294
C -0.1032 2.1063 1.7684
O 5.1072 2.0934 1.6866
O 2.8830 -0.4220 1.8112
O -1.4803 2.0083 5.2017
O 0.7438 4.5237 5.0771
O 0.4152 1.2759 0.9273
O 3.1199 4.3348 2.5705
O 3.2117 2.8258 5.9610
O 0.5069 -0.2331 4.3178
O 0.6498 2.4566 2.7941
O 1.9768 3.9574 0.7037
O 2.9770 1.6451 4.0942
O 1.6500 0.1444 6.1846

(10)
8
Lattice="-2.4994 1.6966 1.6969 -0.9132 -4.8995 3.5536 3.5941 0.3464 4.9474" Properties=species:S:1:pos:R:3 comment="Pu4N3F (PBE-GGA, optimized geometry)" magmom_total_mub_per_fu=0.4 dos_at_fermi_per_ev_fu=24.7 sg=Cmmm mass_density_g_cm3=14.08 raw_formation_energy_ev_per_fu=-11.34 dft_energy_ev_per_atom=-11.939 pbc="T T T"
F 1.8876 -1.2559 7.5729
N 0.5473 1.0209 3.3224
N 1.0947 2.0424 6.6445
N -1.1590 -0.5806 5.9477
Pu -0.5607 -1.8018 8.0499
Pu -1.0294 -2.7525 4.7727
Pu -1.7574 0.6406 3.8454
Pu 1.2108 -0.1053 5.4256

(11)
11
Lattice="7.8174 0.0000 0.0000 0.0000 7.8174 0.0000 -3.9087 -3.9087 6.6546" Properties=species:S:1:pos:R:3 comment="AcNd6Ho4 (PBE-GGA, optimized geometry)" magmom_total_mub_per_fu=0.0 de_polymorph_mev_per_atom=23 dos_at_fermi_per_ev_fu=14.6 sg=I-42m mass_density_g_cm3=7.15 dft_energy_ev_per_atom=-4.290 pbc="T T T"
Ac 3.9087 3.9087 0.0000
Nd 5.8309 1.9864 2.5537
Nd 1.9864 5.8309 2.5537
Nd 1.9222 1.9222 4.1009
Nd 0.0000 3.9087 0.0000
Nd -1.9222 -1.9222 4.1009
Nd 3.9087 0.0000 0.0000
Ho -2.6597 2.6597 5.6345
Ho 6.5684 6.5684 1.0201
Ho 2.6597 -2.6597 5.6345
Ho 1.2490 1.2490 1.0201

(12)
4
Lattice="-6.0340 -0.6840 -0.2245 3.3892 -3.9387 3.1507 -0.6774 4.0680 5.8142" Properties=species:S:1:pos:R:3 comment="BaNb (PBE-GGA, optimized geometry)" magmom_total_mub_per_fu=5.3 de_polymorph_mev_per_atom=1651 dos_at_fermi_per_ev_fu=3.1 sg=P6_3/mmc mass_density_g_cm3=3.35 dft_energy_ev_per_atom=-3.757 pbc="T T T"
Ba -0.2599 0.1972 6.3863
Ba -3.0623 -0.7519 2.3541
Nb 0.0788 -1.8368 3.4792
Nb -3.4010 1.2821 5.2612